# 1
MoSO6 (SCAN, PBEsol geometry); total magnetization = 0.00 μB/cell; uncorrected formation energy = -1.729 eV/atom
1.0
13.424 -6.103 0.000
13.424 6.103 0.000
-2.170 0.000 8.395
Mo S O
12 12 72
Cartesian
9.353 4.614 7.489
5.277 1.414 6.194
14.239 4.614 5.103
10.309 1.543 3.398
6.362 -1.414 1.997
15.454 1.543 0.800
9.224 -1.543 7.595
18.316 1.414 6.398
14.369 -1.543 4.997
10.439 -4.614 3.291
19.401 -1.414 2.201
15.325 -4.614 0.906
9.572 4.546 2.175
5.022 1.592 2.659
16.191 4.546 2.022
11.902 1.535 0.248
3.936 -1.592 6.856
13.861 1.535 3.949
10.817 -1.535 4.445
20.742 1.592 1.539
12.776 -1.535 8.147
8.487 -4.546 6.372
19.656 -1.592 5.736
15.106 -4.546 6.220
7.385 4.117 6.530
1.213 1.254 7.559
3.089 1.924 6.185
6.005 2.723 2.712
10.143 4.539 6.020
1.472 0.392 5.297
12.767 4.844 0.184
4.667 1.175 4.009
12.996 4.844 4.014
10.404 3.447 2.769
2.557 -0.392 1.100
5.340 1.591 7.854
13.450 4.539 6.572
5.736 0.484 1.939
9.116 2.646 7.842
6.875 1.164 5.779
2.298 -1.254 3.362
8.710 1.272 3.004
4.651 -0.484 6.137
10.248 1.809 5.046
15.359 3.447 1.428
3.582 -1.175 8.206
16.207 4.117 6.062
10.977 1.168 1.316
4.174 -1.924 1.987
13.219 1.929 0.714
12.544 1.929 3.483
14.477 2.646 4.750
6.425 -1.591 3.657
7.960 -1.164 1.581
9.851 0.383 7.690
13.345 1.809 7.546
7.624 -1.272 7.202
10.936 -0.383 3.493
4.920 -2.723 6.909
14.786 1.168 2.881
9.892 -1.168 5.514
19.758 2.723 1.485
13.742 0.383 4.902
17.054 1.272 1.193
11.333 -1.809 0.849
14.827 -0.383 0.705
16.718 1.164 6.813
18.253 1.591 4.738
10.201 -2.646 3.645
12.134 -1.929 4.911
11.459 -1.929 7.681
20.504 1.924 6.407
13.701 -1.168 7.078
8.471 -4.117 2.333
21.096 1.175 0.188
9.319 -3.447 6.966
14.430 -1.809 3.349
20.027 0.484 2.258
15.968 -1.272 5.390
22.380 1.254 5.033
17.803 -1.164 2.616
15.562 -2.646 0.552
18.942 -0.484 6.455
11.228 -4.539 1.823
19.338 -1.591 0.541
22.121 0.392 7.295
14.274 -3.447 5.625
11.682 -4.844 4.381
20.011 -1.175 4.386
11.911 -4.844 8.211
23.206 -0.392 3.098
14.535 -4.539 2.375
18.673 -2.723 5.683
21.589 -1.924 2.210
23.465 -1.254 0.835
17.292 -4.117 1.864

# 2
SbMoO3 (SCAN, PBEsol geometry); total magnetization = 0.00 μB/cell; uncorrected formation energy = -1.103 eV/atom
1.0
3.956 0.000 0.000
0.000 3.956 0.000
0.000 0.000 3.956
Sb Mo O
1 1 3
Cartesian
0.000 0.000 0.000
1.978 1.978 1.978
0.000 1.978 1.978
1.978 0.000 1.978
1.978 1.978 0.000